[1]
CsSc2Rh: single point on PBEsol structure, meta-GGA SCAN.

Computed properties:
As for the total energy: -25.207 eV/atom. Its formation energy is -193 meV per atom.

Lattice parameters (Å, degrees): 3.8255 3.8255 29.9512 90.00 90.00 120.00
Last column: nearest neighbours and their distance in Å.
Space group R-3m (No. 166, hexagonal axes)
Symmetry-distinct sites (fractional):
Cs 0.0000 0.0000 0.0000 (multiplicity 3)  2 Sc 3.70, 6 Cs 3.83
Sc 0.0000 0.0000 0.1235 (multiplicity 6)  3 Rh 2.56
Rh 0.0000 0.0000 0.5000 (multiplicity 3)  6 Sc 2.56

=====

[2]
CsY2ScRh: single point on PBEsol structure, meta-GGA SCAN.

Computed properties:
As for the total energy: -26.743 eV/atom. Its formation energy is 1558 meV per atom.

Lattice parameters (Å, degrees): 5.3312 5.3312 5.3003 90.00 90.00 90.00
Last column: nearest neighbours and their distance in Å.
Space group P4/mmm (No. 123)
Symmetry-distinct sites (fractional):
Cs 0.0000 0.0000 0.0000 (multiplicity 1)  2 Sc 2.65
Y 0.0000 0.5000 0.5000 (multiplicity 2)  2 Sc 2.67
Sc 0.0000 0.0000 0.5000 (multiplicity 1)  2 Cs 2.65, 4 Y 2.67
Rh 0.5000 0.5000 0.0000 (multiplicity 1)  8 Y 3.76, 4 Cs 3.77

=====

[3]
CsRhSe2: single point on PBEsol structure, meta-GGA SCAN.

Computed properties:
As for the uncorrected formation energy: -697.7 meV per atom. As for the total energy: -28.632 eV/atom.

Lattice parameters (Å, degrees): 7.6485 7.6485 7.9587 90.00 90.00 90.00
Last column: nearest neighbours and their distance in Å.
Space group I-42d (No. 122)
Symmetry-distinct sites (fractional):
Cs 0.0000 0.0000 0.0000 (multiplicity 4)  8 Se 3.59-3.67, 2 Rh 3.98
Rh 0.0000 0.0000 0.5000 (multiplicity 4)  4 Se 2.36
Se 0.1251 0.2500 0.6250 (multiplicity 8)  2 Rh 2.36

=====

[4]
CsTaSn2Rh: single point on PBEsol structure, meta-GGA SCAN.

Computed properties:
As for the total energy: -40.589 eV/atom. Its formation energy is 1413 meV per atom.

Lattice parameters (Å, degrees): 5.2948 5.2948 5.6880 90.00 90.00 90.00
Last column: nearest neighbours and their distance in Å.
Space group P4/mmm (No. 123)
Symmetry-distinct sites (fractional):
Cs 0.0000 0.0000 0.0000 (multiplicity 1)  2 Ta 2.84
Ta 0.0000 0.0000 0.5000 (multiplicity 1)  4 Sn 2.65, 2 Cs 2.84
Sn 0.0000 0.5000 0.5000 (multiplicity 2)  2 Ta 2.65
Rh 0.5000 0.5000 0.0000 (multiplicity 1)  4 Cs 3.74, 8 Sn 3.89

=====

[5]
CsZn2SnRh: single point on PBEsol structure, meta-GGA SCAN.

Computed properties:
As for the total energy: -26.474 eV/atom. Its formation energy is 433 meV per atom.

Lattice parameters (Å, degrees): 5.2546 5.2546 5.0545 90.00 90.00 90.00
Last column: nearest neighbours and their distance in Å.
Space group P4/mmm (No. 123)
Symmetry-distinct sites (fractional):
Cs 0.0000 0.0000 0.0000 (multiplicity 1)  8 Zn 3.65, 4 Rh 3.72
Zn 0.0000 0.5000 0.5000 (multiplicity 2)  2 Sn 2.63
Sn 0.5000 0.5000 0.5000 (multiplicity 1)  2 Rh 2.53, 4 Zn 2.63
Rh 0.5000 0.5000 0.0000 (multiplicity 1)  2 Sn 2.53

=====

[6]
CsSrRh3: single point on PBEsol structure, meta-GGA SCAN.

Computed properties:
As for the total energy: -30.740 eV/atom. Its formation energy is 1540 meV per atom.

Lattice parameters (Å, degrees): 5.1336 5.1336 5.1336 90.00 90.00 90.00
Last column: nearest neighbours and their distance in Å.
Space group Pm-3m (No. 221)
Symmetry-distinct sites (fractional):
Cs 0.0000 0.0000 0.0000 (multiplicity 1)  12 Rh 3.63
Sr 0.5000 0.5000 0.5000 (multiplicity 1)  6 Rh 2.57
Rh 0.0000 0.5000 0.5000 (multiplicity 3)  2 Sr 2.57

=====

[7]
CsTe2Rh2: single point on PBEsol structure, meta-GGA SCAN.

Computed properties:
As for the uncorrected formation energy: -582.8 meV per atom. As for the total energy: -36.554 eV/atom.

Lattice parameters (Å, degrees): 4.1393 4.1393 15.3180 90.00 90.00 90.00
Last column: nearest neighbours and their distance in Å.
Space group I4/mmm (No. 139)
Symmetry-distinct sites (fractional):
Cs 0.0000 0.0000 0.0000 (multiplicity 2)  8 Te 3.70, 4 Cs 4.14
Te 0.0000 0.0000 0.3518 (multiplicity 4)  4 Rh 2.59
Rh 0.0000 0.5000 0.2500 (multiplicity 4)  4 Te 2.59

=====

[8]
CsTiRh3: single point on PBEsol structure, meta-GGA SCAN.

Computed properties:
As for the total energy: -28.970 eV/atom. Its formation energy is 2061 meV per atom.

Lattice parameters (Å, degrees): 4.8029 4.8029 4.8029 90.00 90.00 90.00
Last column: nearest neighbours and their distance in Å.
Space group Pm-3m (No. 221)
Symmetry-distinct sites (fractional):
Cs 0.0000 0.0000 0.0000 (multiplicity 1)  6 Rh 2.40
Ti 0.5000 0.5000 0.5000 (multiplicity 1)  12 Rh 3.40
Rh 0.0000 0.0000 0.5000 (multiplicity 3)  2 Cs 2.40

=====

[9]
Cs3TlRh: single point on PBEsol structure, meta-GGA SCAN.

Computed properties:
As for the total energy: -43.436 eV/atom. Its formation energy is 476 meV per atom.

Lattice parameters (Å, degrees): 5.9547 5.9547 5.9547 90.00 90.00 90.00
Last column: nearest neighbours and their distance in Å.
Space group Pm-3m (No. 221)
Symmetry-distinct sites (fractional):
Cs 0.0000 0.0000 0.5000 (multiplicity 3)  2 Rh 2.98
Tl 0.5000 0.5000 0.5000 (multiplicity 1)  12 Cs 4.21
Rh 0.0000 0.0000 0.0000 (multiplicity 1)  6 Cs 2.98

=====

[10]
CsYRh3: single point on PBEsol structure, meta-GGA SCAN.

Computed properties:
As for the total energy: -32.413 eV/atom. Its formation energy is 980 meV per atom.

Lattice parameters (Å, degrees): 5.0092 5.0092 5.0092 90.00 90.00 90.00
Last column: nearest neighbours and their distance in Å.
Space group Pm-3m (No. 221)
Symmetry-distinct sites (fractional):
Cs 0.0000 0.0000 0.0000 (multiplicity 1)  12 Rh 3.54
Y 0.5000 0.5000 0.5000 (multiplicity 1)  6 Rh 2.50
Rh 0.0000 0.5000 0.5000 (multiplicity 3)  2 Y 2.50

=====

[11]
Cs2YRh2: single point on PBEsol structure, meta-GGA SCAN.

Computed properties:
As for the total energy: -33.413 eV/atom. Its formation energy is 788 meV per atom.

Lattice parameters (Å, degrees): 4.4101 4.4101 14.1582 90.00 90.00 90.00
Last column: nearest neighbours and their distance in Å.
Space group I4/mmm (No. 139)
Symmetry-distinct sites (fractional):
Cs 0.0000 0.5000 0.2500 (multiplicity 4)  4 Cs 3.12, 4 Rh 3.22
Y 0.0000 0.0000 0.0000 (multiplicity 2)  8 Rh 3.34
Rh 0.0000 0.0000 0.4153 (multiplicity 4)  1 Rh 2.40

=====

[12]
CsZnRh3: single point on PBEsol structure, meta-GGA SCAN.

Computed properties:
As for the total energy: -29.498 eV/atom. Its formation energy is 1030 meV per atom.

Lattice parameters (Å, degrees): 4.6832 4.6832 4.6832 90.00 90.00 90.00
Last column: nearest neighbours and their distance in Å.
Space group Pm-3m (No. 221)
Symmetry-distinct sites (fractional):
Cs 0.0000 0.0000 0.0000 (multiplicity 1)  12 Rh 3.31
Zn 0.5000 0.5000 0.5000 (multiplicity 1)  6 Rh 2.34
Rh 0.0000 0.5000 0.5000 (multiplicity 3)  2 Zn 2.34

=====

[13]
CsZn2Rh: single point on PBEsol structure, meta-GGA SCAN.

Computed properties:
As for the total energy: -23.759 eV/atom. Its formation energy is 894 meV per atom.

Lattice parameters (Å, degrees): 7.0237 7.0237 7.0237 90.00 90.00 90.00
Last column: nearest neighbours and their distance in Å.
Space group Fm-3m (No. 225)
Symmetry-distinct sites (fractional):
Cs 0.0000 0.0000 0.0000 (multiplicity 4)  8 Zn 3.04
Zn 0.2500 0.2500 0.2500 (multiplicity 8)  4 Rh 3.04, 4 Cs 3.04
Rh 0.0000 0.0000 0.5000 (multiplicity 4)  8 Zn 3.04

=====

[14]
CsZr2Rh: single point on PBEsol structure, meta-GGA SCAN.

Computed properties:
As for the total energy: -32.512 eV/atom. Its formation energy is 732 meV per atom.

Lattice parameters (Å, degrees): 6.9183 6.9183 6.9183 90.00 90.00 90.00
Last column: nearest neighbours and their distance in Å.
Space group Fm-3m (No. 225)
Symmetry-distinct sites (fractional):
Cs 0.0000 0.0000 0.0000 (multiplicity 4)  8 Zr 3.00
Zr 0.2500 0.2500 0.2500 (multiplicity 8)  4 Rh 3.00, 4 Cs 3.00
Rh 0.0000 0.0000 0.5000 (multiplicity 4)  8 Zr 3.00

=====

[15]
CsSb3Ru: single point on PBEsol structure, meta-GGA SCAN.

Computed properties:
As for the uncorrected formation energy: 225.8 meV per atom. As for the total energy: -36.658 eV/atom.

Lattice parameters (Å, degrees): 5.2611 5.2611 5.2611 90.00 90.00 90.00
Last column: nearest neighbours and their distance in Å.
Space group Pm-3m (No. 221)
Symmetry-distinct sites (fractional):
Cs 0.0000 0.0000 0.0000 (multiplicity 1)  12 Sb 3.72
Sb 0.0000 0.5000 0.5000 (multiplicity 3)  2 Ru 2.63
Ru 0.5000 0.5000 0.5000 (multiplicity 1)  6 Sb 2.63

=====

[16]
CsSn2Ru: single point on PBEsol structure, meta-GGA SCAN.

Computed properties:
As for the total energy: -35.182 eV/atom. Its formation energy is 938 meV per atom.

Lattice parameters (Å, degrees): 7.2914 7.2914 7.2914 90.00 90.00 90.00
Last column: nearest neighbours and their distance in Å.
Space group Fm-3m (No. 225)
Symmetry-distinct sites (fractional):
Cs 0.0000 0.0000 0.0000 (multiplicity 4)  8 Sn 3.16
Sn 0.2500 0.2500 0.2500 (multiplicity 8)  4 Ru 3.16, 4 Cs 3.16
Ru 0.0000 0.0000 0.5000 (multiplicity 4)  8 Sn 3.16

=====

[17]
CsTa2Ru: single point on PBEsol structure, meta-GGA SCAN.

Computed properties:
As for the total energy: -49.827 eV/atom. Its formation energy is 1624 meV per atom.

Lattice parameters (Å, degrees): 6.6610 6.6610 6.6610 90.00 90.00 90.00
Last column: nearest neighbours and their distance in Å.
Space group Fm-3m (No. 225)
Symmetry-distinct sites (fractional):
Cs 0.0000 0.0000 0.0000 (multiplicity 4)  8 Ta 2.88
Ta 0.2500 0.2500 0.2500 (multiplicity 8)  4 Ru 2.88, 4 Cs 2.88
Ru 0.0000 0.0000 0.5000 (multiplicity 4)  8 Ta 2.88

=====

[18]
Cs3TcRu: single point on PBEsol structure, meta-GGA SCAN.

Computed properties:
As for the total energy: -34.685 eV/atom. Its formation energy is 1978 meV per atom.

Lattice parameters (Å, degrees): 5.6313 5.6313 5.6313 90.00 90.00 90.00
Last column: nearest neighbours and their distance in Å.
Space group Pm-3m (No. 221)
Symmetry-distinct sites (fractional):
Cs 0.0000 0.0000 0.5000 (multiplicity 3)  2 Tc 2.82
Tc 0.0000 0.0000 0.0000 (multiplicity 1)  6 Cs 2.82
Ru 0.5000 0.5000 0.5000 (multiplicity 1)  12 Cs 3.98

=====

[19]
CsTiRu2: single point on PBEsol structure, meta-GGA SCAN.

Computed properties:
As for the total energy: -29.556 eV/atom. Its formation energy is 1318 meV per atom.

Lattice parameters (Å, degrees): 6.5642 6.5642 6.5642 90.00 90.00 90.00
Last column: nearest neighbours and their distance in Å.
Space group Fm-3m (No. 225)
Symmetry-distinct sites (fractional):
Cs 0.0000 0.0000 0.0000 (multiplicity 4)  8 Ru 2.84
Ti 0.0000 0.0000 0.5000 (multiplicity 4)  8 Ru 2.84
Ru 0.2500 0.2500 0.2500 (multiplicity 8)  4 Ti 2.84, 4 Cs 2.84

=====

[20]
CsTl3Ru: single point on PBEsol structure, meta-GGA SCAN.

Computed properties:
As for the total energy: -58.003 eV/atom. Its formation energy is -61 meV per atom.

Lattice parameters (Å, degrees): 5.3104 5.3104 5.3104 90.00 90.00 90.00
Last column: nearest neighbours and their distance in Å.
Space group Pm-3m (No. 221)
Symmetry-distinct sites (fractional):
Cs 0.0000 0.0000 0.0000 (multiplicity 1)  12 Tl 3.76
Tl 0.0000 0.5000 0.5000 (multiplicity 3)  2 Ru 2.66
Ru 0.5000 0.5000 0.5000 (multiplicity 1)  6 Tl 2.66

=====

[21]
CsYRu3: single point on PBEsol structure, meta-GGA SCAN.

Computed properties:
As for the total energy: -31.846 eV/atom. Its formation energy is 2180 meV per atom.

Lattice parameters (Å, degrees): 4.8119 4.8119 4.8119 90.00 90.00 90.00
Last column: nearest neighbours and their distance in Å.
Space group Pm-3m (No. 221)
Symmetry-distinct sites (fractional):
Cs 0.0000 0.0000 0.0000 (multiplicity 1)  6 Ru 2.41
Y 0.5000 0.5000 0.5000 (multiplicity 1)  12 Ru 3.40
Ru 0.0000 0.0000 0.5000 (multiplicity 3)  2 Cs 2.41

=====

[22]
CsZrRu2: single point on PBEsol structure, meta-GGA SCAN.

Computed properties:
As for the total energy: -33.351 eV/atom. Its formation energy is 1190 meV per atom.

Lattice parameters (Å, degrees): 6.7459 6.7459 6.7459 90.00 90.00 90.00
Last column: nearest neighbours and their distance in Å.
Space group Fm-3m (No. 225)
Symmetry-distinct sites (fractional):
Cs 0.0000 0.0000 0.0000 (multiplicity 4)  8 Ru 2.92
Zr 0.0000 0.0000 0.5000 (multiplicity 4)  8 Ru 2.92
Ru 0.2500 0.2500 0.2500 (multiplicity 8)  4 Zr 2.92, 4 Cs 2.92

=====

[23]
Cs2S5: single point on PBEsol structure, meta-GGA SCAN.

Computed properties:
As for the uncorrected formation energy: -749.0 meV per atom. As for the total energy: -18.429 eV/atom.

Lattice parameters (Å, degrees): 6.7058 7.1419 18.1314 90.00 90.00 90.00
Last column: nearest neighbours and their distance in Å.
Space group P2_12_12_1 (No. 19)
Symmetry-distinct sites (fractional):
Cs 0.0798 0.2438 0.1635 (multiplicity 4)  10 S 3.41-3.79
Cs 0.1071 0.0771 0.5159 (multiplicity 4)  9 S 3.47-3.72
S 0.0508 0.7389 0.1546 (multiplicity 4)  1 S 2.04
S 0.0651 0.8815 0.8119 (multiplicity 4)  2 S 2.08-2.09
S 0.0703 0.1159 0.8802 (multiplicity 4)  2 S 2.04-2.08
S 0.0882 0.5761 0.5250 (multiplicity 4)  1 S 2.04
S 0.2398 0.3208 0.3532 (multiplicity 4)  2 S 2.04-2.09

=====

[24]
Cs2Sb4S7: single point on PBEsol structure, meta-GGA SCAN.

Computed properties:
As for the uncorrected formation energy: -627.9 meV per atom. As for the total energy: -23.094 eV/atom.

Lattice parameters (Å, degrees): 10.9238 12.2641 11.5257 90.00 100.29 90.00
Last column: nearest neighbours and their distance in Å.
Space group P2_1/c (No. 14)
Symmetry-distinct sites (fractional):
Cs 0.0242 0.0682 0.1668 (multiplicity 4)  8 S 3.42-3.78
Cs 0.4601 0.5495 0.8164 (multiplicity 4)  7 S 3.44-3.81
Sb 0.1420 0.1510 0.5872 (multiplicity 4)  3 S 2.46-2.65
Sb 0.1957 0.6451 0.0529 (multiplicity 4)  4 S 2.47-2.71
Sb 0.3023 0.1407 0.9449 (multiplicity 4)  3 S 2.41-2.56
Sb 0.3655 0.6574 0.4164 (multiplicity 4)  3 S 2.41-2.57
S 0.0923 0.2088 0.8960 (multiplicity 4)  1 Sb 2.41
S 0.1933 0.7265 0.8350 (multiplicity 4)  2 Sb 2.41-2.70
S 0.2011 0.0260 0.4391 (multiplicity 4)  2 Sb 2.46-2.48
S 0.2449 0.5029 0.2349 (multiplicity 4)  4 Sb 2.65-2.97
S 0.2693 0.5343 0.5450 (multiplicity 4)  2 Sb 2.48-2.49
S 0.3274 0.2341 0.1462 (multiplicity 4)  2 Sb 2.46-2.56
S 0.4143 0.7085 0.0896 (multiplicity 4)  2 Sb 2.47-2.57

=====

[25]
Cs2SbS: single point on PBEsol structure, meta-GGA SCAN.

Computed properties:
As for the uncorrected formation energy: -277.3 meV per atom. As for the total energy: -30.905 eV/atom.

Lattice parameters (Å, degrees): 8.5530 8.5530 8.5530 90.00 90.00 90.00
Last column: nearest neighbours and their distance in Å.
Space group Fm-3m (No. 225)
Symmetry-distinct sites (fractional):
Cs 0.2500 0.2500 0.2500 (multiplicity 8)  4 S 3.70, 4 Sb 3.70
Sb 0.0000 0.0000 0.0000 (multiplicity 4)  8 Cs 3.70
S 0.0000 0.0000 0.5000 (multiplicity 4)  8 Cs 3.70